(1)
La4SnSb2Te | the Alexandria database | PBE | optimized geometry; energy relative to the elements, uncorrected = -10.0 eV per formula unit; electronic total energy = -5.638 eV/atom; symmetry = I-4m2 (119); calculated volume = 279.2 Å³/f.u.
1.0
-4.823 3.213 3.020
-0.134 -4.580 4.659
6.888 4.062 -0.391
Sn Te Sb La
1 1 2 4
Direct
0.500 0.500 0.000 Sn
0.750 0.250 0.500 Te
0.250 0.750 0.500 Sb
0.000 0.000 0.000 Sb
0.751 0.751 0.501 La
0.249 0.249 0.499 La
0.497 0.997 0.995 La
0.003 0.503 0.005 La

(2)
In2TcTe | the Alexandria database | PBE | optimized geometry; energy relative to the elements, uncorrected = 2.2 eV per formula unit; electronic total energy = -4.203 eV/atom; symmetry = Pmmm (47); calculated volume = 86.6 Å³/f.u.
1.0
-0.455 3.141 1.685
-1.474 -2.397 4.071
4.610 -0.173 1.567
In Te Tc
2 1 1
Direct
0.500 0.500 0.000 In
0.000 0.000 0.000 In
0.000 0.500 0.500 Te
0.500 0.000 0.500 Tc

What did the first record say?
La4SnSb2Te | the Alexandria database | PBE | optimized geometry; energy relative to the elements, uncorrected = -10.0 eV per formula unit; electronic total energy = -5.638 eV/atom; symmetry = I-4m2 (119); calculated volume = 279.2 Å³/f.u.
1.0
-4.823 3.213 3.020
-0.134 -4.580 4.659
6.888 4.062 -0.391
Sn Te Sb La
1 1 2 4
Direct
0.500 0.500 0.000 Sn
0.750 0.250 0.500 Te
0.250 0.750 0.500 Sb
0.000 0.000 0.000 Sb
0.751 0.751 0.501 La
0.249 0.249 0.499 La
0.497 0.997 0.995 La
0.003 0.503 0.005 La

What is the formula in the first record?
La4SnSb2Te